# TaNb4Ga3 (PBE-GGA, optimized geometry)
# **DOS at the Fermi energy**: 23.00 states/eV per cell
# **E_form**: -0.337 eV per atom
# **Theoretical density**: 9.2 g/cm³
data_TaNb4Ga3
_chemical_formula_sum 'Ta4 Nb16 Ga12'
_cell_length_a 10.3227
_cell_length_b 10.3227
_cell_length_c 5.1413
_cell_angle_alpha 90.00
_cell_angle_beta 90.00
_cell_angle_gamma 90.00
_symmetry_space_group_name_H-M 'I 4/m c m'
_symmetry_Int_Tables_number 140
_symmetry_space_group_name_Hall '-I 4 2c'
loop_
_atom_site_label
_atom_site_type_symbol
_atom_site_fract_x
_atom_site_fract_y
_atom_site_fract_z
_atom_site_occupancy
Ta1 Ta 0.0000 0.5000 0.2500 1
Nb1 Nb 0.0761 0.2226 0.0000 1
Ga1 Ga 0.0000 0.0000 0.2500 1
Ga2 Ga 0.1651 0.3349 0.5000 1